[1]
Compound: LiPt2Cl
Source: Alexandria
Functional: meta-GGA SCAN
Structure: PBEsol geometry

a b c (Å): 10.577 10.577 10.577
angles (deg): 160.30 160.30 28.00
Fractional coordinates of all 8 atoms:
Li 0.000 0.000 0.000
Li 0.750 0.250 0.500
Pt 0.122 0.625 0.997
Pt 0.375 0.372 0.497
Pt 0.628 0.125 0.003
Pt 0.875 0.878 0.503
Cl 0.250 0.750 0.500
Cl 0.500 0.500 0.000

## Properties
As for the symmetry: I-42d. The calculation puts the energy relative to the elements, uncorrected at -0.18 eV/atom. As for the energy above the most stable polymorph in this dataset: 197.9 meV per atom. The value obtained for the total magnetization is 0.0 μB per cell. The volume is 16.8 A^3/atom.

---

[2]
Compound: SrMo4W
Source: Alexandria
Functional: meta-GGA SCAN
Structure: PBEsol geometry

a b c (Å): 5.330 5.330 5.330
angles (deg): 60.00 60.00 60.00
Fractional coordinates of all 6 atoms:
Sr 0.000 0.000 0.000
Mo 0.126 0.625 0.625
Mo 0.625 0.126 0.625
Mo 0.625 0.625 0.126
Mo 0.625 0.625 0.625
W 0.250 0.250 0.250

## Properties
As for the symmetry: F-43m. The value obtained for the total magnetization is 0.0 μB per cell. For the formation energy, the calculation gives 76 kJ per mole of atoms. The volume is 17.8 A^3/atom.

---

[3]
Compound: TlMoRh2
Source: Alexandria
Functional: meta-GGA SCAN
Structure: PBEsol geometry

a b c (Å): 2.848 3.776 5.851
angles (deg): 90.00 90.00 90.00
Fractional coordinates of all 4 atoms:
Tl 0.000 0.000 0.000
Mo 0.000 0.000 0.500
Rh 0.500 0.500 0.275
Rh 0.500 0.500 0.725

## Properties
As for the symmetry: Pmmm. As for the energy above the most stable polymorph in this dataset: 0.0 meV per atom. The value obtained for the total magnetization is 0.0 μB per cell. For the formation energy, the calculation gives 7 kJ per mole of atoms. The volume is 15.7 A^3/atom.

---

[4]
Compound: Bi3ClF
Source: Alexandria
Functional: meta-GGA SCAN
Structure: PBEsol geometry

a b c (Å): 5.392 5.392 5.392
angles (deg): 90.00 90.00 90.00
Fractional coordinates of all 5 atoms:
Bi 0.000 0.000 0.500
Bi 0.000 0.500 0.000
Bi 0.500 0.000 0.000
Cl 0.000 0.000 0.000
F 0.500 0.500 0.500

## Properties
As for the symmetry: Pm-3m. The calculation puts the energy relative to the elements, uncorrected at 0.60 eV/atom. The value obtained for the total magnetization is 0.0 μB per cell. The volume is 31.4 A^3/atom.

---

[5]
Compound: BeAg2Pb
Source: Alexandria
Functional: meta-GGA SCAN
Structure: PBEsol geometry

a b c (Å): 4.680 4.680 4.680
angles (deg): 60.00 60.00 60.00
Fractional coordinates of all 4 atoms:
Be 0.000 0.000 0.000
Ag 0.250 0.250 0.250
Ag 0.750 0.750 0.750
Pb 0.500 0.500 0.500

## Properties
As for the symmetry: Fm-3m. As for the energy above the most stable polymorph in this dataset: 112.1 meV per atom. The value obtained for the total magnetization is 0.0 μB per cell. For the formation energy, the calculation gives 47 kJ per mole of atoms. The volume is 18.1 A^3/atom.

---

[6]
Compound: Ni2Se3
Source: Alexandria
Functional: meta-GGA SCAN
Structure: PBEsol geometry

a b c (Å): 7.997 7.997 7.997
angles (deg): 25.17 25.17 25.17
Fractional coordinates of all 5 atoms:
Ni 0.100 0.100 0.100
Ni 0.900 0.900 0.900
Se 0.283 0.283 0.283
Se 0.500 0.500 0.500
Se 0.717 0.717 0.717

## Properties
As for the symmetry: R-3m. The calculation puts the energy relative to the elements, uncorrected at -0.22 eV/atom. The value obtained for the total magnetization is 0.0 μB per cell. The volume is 16.3 A^3/atom.